A relaxed MnVCoO6 crystal, computed with GGA+U.

Unit cell a=4.897 b=4.897 c=8.732 alpha=90.00 beta=90.00 gamma=120.00
Site moments in Bohr magnetons follow the coordinates.
Sites, in units of the cell vectors:
Mn1 0.667 0.333 0.250  -3.03
Mn2 0.333 0.667 0.750  -3.03
V1 0.333 0.667 0.250  -0.10
V2 0.667 0.333 0.750  -0.10
Co1 0.000 0.000 0.000  2.88
Co2 0.000 0.000 0.500  2.88
O1 0.650 0.654 0.131  0.19
O2 0.004 0.350 0.131  0.19
O3 0.350 0.004 0.631  0.19
O4 0.996 0.650 0.869  0.19
O5 0.346 0.350 0.369  0.19
O6 0.004 0.654 0.369  0.19
O7 0.654 0.004 0.869  0.19
O8 0.650 0.996 0.369  0.19
O9 0.996 0.346 0.631  0.19
O10 0.346 0.996 0.131  0.19
O11 0.654 0.650 0.631  0.19
O12 0.350 0.346 0.869  0.19

Summary:
Crystal system: trigonal
Raw total energy in eV/atom: -6.85